Below is a relaxed structure of Pu2AgPd, with properties calculated at the PBE level.

Structure (POSCAR):
```
Pu2AgPd
1.0
3.2441 0.0000 0.0000
0.0000 3.2442 0.0000
0.0000 0.0000 8.5549
Pu Ag Pd
2 1 1
Cartesian
1.6221 0.0000 1.9833 Pu
1.6221 0.0000 6.5715 Pu
0.0000 1.6221 4.2774 Ag
0.0000 1.6221 0.0000 Pd
```

Energy of formation ... -62 kJ/mol of formula units
ΔE to the lowest computed polymorph ... 0 meV/atom
Total magnetization ... 11.9 μB/cell

---

Below is a relaxed structure of Pr3Y2Mg, with properties calculated at the PBE level.

Structure (POSCAR):
```
Pr3Y2Mg
1.0
3.6877 0.0000 0.0000
0.0000 3.6877 0.0000
0.0000 0.0000 14.5544
Pr Y Mg
3 2 1
Cartesian
0.0000 0.0000 0.0000 Pr
0.0000 0.0000 9.4847 Pr
0.0000 0.0000 5.0697 Pr
1.8439 1.8439 12.0204 Y
1.8439 1.8439 2.5340 Y
1.8439 1.8439 7.2772 Mg
```

Energy of formation ... -10 kJ/mol of formula units
Total magnetization ... 0.0 μB/cell

---

Below is a relaxed structure of Nd4Y5Tm4, with properties calculated at the PBE level.

Structure (POSCAR):
```
Nd4Y5Tm4
1.0
-4.9403 -1.0886 0.1387
-2.0754 -3.4381 -8.5809
-0.5301 -8.9780 2.9793
Nd Y Tm
4 5 4
Cartesian
-5.8788 -8.8334 -1.7470 Nd
-3.9276 -5.8490 -1.1529 Nd
-1.6671 -4.6712 -3.7159 Nd
-3.6182 -7.6556 -4.3101 Nd
-5.5816 -10.5836 -4.8970 Y
-1.9643 -2.9210 -0.5660 Y
0.0000 0.0000 0.0000 Y
-4.3438 -4.5888 -6.0826 Y
-3.2021 -8.9159 0.6196 Y
-4.6405 -2.8447 -2.9641 Tm
-2.9054 -10.6600 -2.4988 Tm
-6.3002 -7.5475 -6.6634 Tm
-1.2457 -5.9571 1.2005 Tm
```

Energy of formation ... 29 kJ/mol of formula units
Total magnetization ... 0.0 μB/cell

---

Below is a relaxed structure of LuZn2Ir, with properties calculated at the PBE level.

Structure (POSCAR):
```
LuZn2Ir
1.0
-1.4269 -3.9648 1.6622
2.3456 -3.7833 -0.8386
2.3071 -2.0203 3.3337
Zn Ir Lu
2 1 1
Cartesian
0.8064 -2.4421 1.0393 Zn
2.4193 -7.3262 3.1180 Zn
0.0000 0.0000 0.0000 Ir
1.6129 -4.8842 2.0786 Lu
```

Energy of formation ... -163 kJ/mol of formula units
Total magnetization ... 0.0 μB/cell

---

| no. | Fermi-level density of states (states/eV/f.u.) |
| --- | --- |
| 1 | 13.62 |
| 2 | 8.17 |
| 3 | 19.36 |
| 4 | 4.26 |